Here is a geometry-optimized TmHfAlAg structure from Alexandria. Energies are from PBE.

Structure (CIF):
```
data_TmHfAlAg
_symmetry_space_group_name_H-M 'F -4 3 m'
_symmetry_Int_Tables_number 216
_symmetry_space_group_name_Hall 'F -4 2 3'
_cell_length_a 6.973
_cell_length_b 6.973
_cell_length_c 6.973
_cell_angle_alpha 90.00
_cell_angle_beta 90.00
_cell_angle_gamma 90.00
loop_
_atom_site_label
_atom_site_type_symbol
_atom_site_fract_x
_atom_site_fract_y
_atom_site_fract_z
Tm1 Tm 0.000 0.000 0.000
Hf1 Hf 0.000 0.000 0.500
Al1 Al 0.250 0.250 0.750
Ag1 Ag 0.250 0.250 0.250
```

Computed properties:
density of states at the Fermi level = 13.025 states/eV per cell
E_form = -0.161 eV/atom